Entry 1:
Compound: SrNO3
Source: Alexandria via LeMat-Bulk
Functional: PBE
Structure: relaxed

* formation energy without anion corrections: 0.935 eV per atom
* calculated volume: 128 Å³/f.u.
* E_tot: -20.2 eV per cell

Lattice parameters (Å, degrees): 5.038 5.038 5.038 90.00 90.00 90.00
Site moments in Bohr magnetons follow the coordinates.
Positions (direct):
O: 0.000 0.500 0.500  1.07
O: 0.500 0.500 0.000  1.07
O: 0.500 0.000 0.500  1.07
Sr: 0.500 0.500 0.500  -0.04
N: 0.000 0.000 0.000  1.92

Entry 2:
Compound: Sr5N2O
Source: Alexandria via LeMat-Bulk
Functional: PBE
Structure: relaxed

* formation energy without anion corrections: -0.978 eV per atom
* calculated volume: 207 Å³/f.u.
* E_tot: -75.7 eV per cell

Lattice parameters (Å, degrees): 5.253 6.798 12.554 90.00 90.00 112.73
Positions (direct):
N: 0.148 0.297 0.943
N: 0.148 0.297 0.557
N: 0.852 0.703 0.443
N: 0.852 0.703 0.057
Sr: 0.756 0.511 0.250
Sr: 0.323 0.645 0.072
Sr: 0.949 0.899 0.618
Sr: 0.051 0.101 0.118
Sr: 0.677 0.355 0.572
Sr: 0.051 0.101 0.382
Sr: 0.244 0.489 0.750
Sr: 0.949 0.899 0.882
Sr: 0.677 0.355 0.928
Sr: 0.323 0.645 0.428
O: 0.788 0.576 0.750
O: 0.212 0.424 0.250

Entry 3:
Compound: Sr2N2O
Source: Alexandria via LeMat-Bulk
Functional: PBE
Structure: relaxed

* formation energy without anion corrections: -1.079 eV per atom
* calculated volume: 88 Å³/f.u.
* E_tot: -60.7 eV per cell

Lattice parameters (Å, degrees): 6.852 6.852 3.729 90.00 90.00 90.00
Site moments in Bohr magnetons follow the coordinates.
Positions (direct):
O: 0.000 0.000 0.000  0.08
O: 0.500 0.500 0.000  0.08
N: 0.067 0.567 0.500  0.53
N: 0.567 0.933 0.500  0.53
N: 0.433 0.067 0.500  0.53
N: 0.933 0.433 0.500  0.53
Sr: 0.787 0.713 0.000  0.05
Sr: 0.213 0.287 0.000  0.05
Sr: 0.287 0.787 0.000  0.05
Sr: 0.713 0.213 0.000  0.05

Entry 4:
Compound: SrN2O2
Source: Alexandria via LeMat-Bulk
Functional: PBE
Structure: relaxed

* polymorph energy (0 for the lowest one): 1.056 eV per atom
* formation energy without anion corrections: 1.571 eV per atom
* calculated volume: 133 Å³/f.u.
* E_tot: -20.4 eV per cell

Lattice parameters (Å, degrees): 4.797 4.797 5.780 90.00 90.00 90.00
Site moments in Bohr magnetons follow the coordinates.
Positions (direct):
N: 0.000 0.000 0.500  1.80
N: 0.500 0.500 0.500  -1.91
O: 0.500 0.000 0.000  0.84
O: 0.000 0.500 0.000  0.84
Sr: 0.000 0.000 0.000  0.01

Entry 5:
Compound: SrNO
Source: Alexandria via LeMat-Bulk
Functional: PBE
Structure: relaxed

* polymorph energy (0 for the lowest one): 0.160 eV per atom
* formation energy without anion corrections: -1.553 eV per atom
* calculated volume: 48 Å³/f.u.
* E_tot: -39.3 eV per cell

Lattice parameters (Å, degrees): 4.663 4.663 5.094 90.00 90.00 120.00
Positions (direct):
N: 0.000 0.000 0.889
N: 0.000 0.000 0.111
O: 0.667 0.333 0.258
O: 0.333 0.667 0.742
Sr: 0.667 0.333 0.742
Sr: 0.333 0.667 0.258

Entry 6:
Compound: SrNO3
Source: Alexandria via LeMat-Bulk
Functional: PBE
Structure: relaxed

* formation energy without anion corrections: -0.093 eV per atom
* calculated volume: 50 Å³/f.u.
* E_tot: -25.3 eV per cell

Lattice parameters (Å, degrees): 3.686 3.686 3.686 90.00 90.00 90.00
Positions (direct):
Sr: 0.500 0.500 0.500
N: 0.000 0.000 0.000
O: 0.000 0.500 0.000
O: 0.500 0.000 0.000
O: 0.000 0.000 0.500

Entry 7:
Compound: SrNO
Source: Alexandria via LeMat-Bulk
Functional: PBE
Structure: relaxed

* polymorph energy (0 for the lowest one): 0.038 eV per atom
* formation energy without anion corrections: -1.676 eV per atom
* calculated volume: 69 Å³/f.u.
* E_tot: -80.0 eV per cell

Lattice parameters (Å, degrees): 9.306 4.189 7.235 90.00 100.75 90.00
Positions (direct):
Sr: 0.143 0.000 0.201
Sr: 0.857 0.500 0.299
Sr: 0.143 0.500 0.701
Sr: 0.857 0.000 0.799
O: 0.870 0.000 0.136
O: 0.130 0.000 0.864
O: 0.870 0.500 0.636
O: 0.130 0.500 0.364
N: 0.546 0.500 0.061
N: 0.454 0.500 0.939
N: 0.454 0.000 0.439
N: 0.546 0.000 0.561

Entry 8:
Compound: Sr2NO
Source: Alexandria via LeMat-Bulk
Functional: PBE
Structure: relaxed

* polymorph energy (0 for the lowest one): 0.000 eV per atom
* formation energy without anion corrections: -1.235 eV per atom
* calculated volume: 86 Å³/f.u.
* E_tot: -43.2 eV per cell

Lattice parameters (Å, degrees): 6.394 6.394 6.181 58.85 58.85 90.00
Site moments in Bohr magnetons follow the coordinates.
Positions (direct):
Sr: 0.109 0.625 0.250  0.01
Sr: 0.375 0.359 0.750  0.01
Sr: 0.875 0.891 0.750  0.01
Sr: 0.641 0.125 0.250  0.01
N: 0.250 0.750 0.500  0.64
N: 0.500 0.500 0.000  0.64
O: 0.000 0.000 0.000  0.04
O: 0.750 0.250 0.500  0.04

Entry 9:
Compound: SrNO
Source: Alexandria via LeMat-Bulk
Functional: PBE
Structure: relaxed

* polymorph energy (0 for the lowest one): 0.133 eV per atom
* formation energy without anion corrections: -1.581 eV per atom
* calculated volume: 65 Å³/f.u.
* E_tot: -39.4 eV per cell

Lattice parameters (Å, degrees): 4.428 4.773 6.536 89.89 70.32 89.65
Positions (direct):
Sr: 0.060 0.145 0.992
Sr: 0.684 0.645 0.743
O: 0.640 0.145 0.831
O: 0.104 0.645 0.903
N: 0.244 0.219 0.433
N: 0.435 0.064 0.435

Entry 10:
Compound: SrNO
Source: Alexandria via LeMat-Bulk
Functional: PBE
Structure: relaxed

* polymorph energy (0 for the lowest one): 0.001 eV per atom
* formation energy without anion corrections: -1.713 eV per atom
* calculated volume: 61 Å³/f.u.
* E_tot: -40.2 eV per cell

Lattice parameters (Å, degrees): 3.591 3.597 9.571 90.90 96.81 90.00
Positions (direct):
O: 0.933 0.483 0.904
O: 0.353 0.972 0.651
N: 0.684 0.669 0.331
N: 0.610 0.787 0.224
Sr: 0.850 0.472 0.641
Sr: 0.436 0.983 0.914

Entry 11:
Compound: SrN2O2
Source: Alexandria via LeMat-Bulk
Functional: PBE
Structure: relaxed

* polymorph energy (0 for the lowest one): 0.516 eV per atom
* formation energy without anion corrections: 1.031 eV per atom
* calculated volume: 62 Å³/f.u.
* E_tot: -23.1 eV per cell

Lattice parameters (Å, degrees): 3.786 3.786 4.314 90.00 90.00 90.00
Site moments in Bohr magnetons follow the coordinates.
Positions (direct):
O: 0.000 0.000 0.500  0.24
O: 0.000 0.000 0.000  0.00
Sr: 0.500 0.500 0.500  0.03
N: 0.500 0.000 0.000  1.11
N: 0.000 0.500 0.000  1.11

Entry 12:
Compound: SrNO
Source: Alexandria via LeMat-Bulk
Functional: PBE
Structure: relaxed

* polymorph energy (0 for the lowest one): 0.122 eV per atom
* formation energy without anion corrections: -1.592 eV per atom
* calculated volume: 69 Å³/f.u.
* E_tot: -39.5 eV per cell

Lattice parameters (Å, degrees): 4.446 4.849 6.887 90.20 69.13 89.94
Positions (direct):
O: 0.726 0.250 0.043
O: 0.274 0.750 0.957
N: 0.116 0.946 0.457
N: 0.884 0.054 0.543
Sr: 0.689 0.751 0.109
Sr: 0.311 0.249 0.891

Which of these has the lowest formation energy without anion corrections?
number 10

Number 9 is which compound?
SrNO

What did the fifth record say?
Compound: SrNO
Source: Alexandria via LeMat-Bulk
Functional: PBE
Structure: relaxed

* polymorph energy (0 for the lowest one): 0.160 eV per atom
* formation energy without anion corrections: -1.553 eV per atom
* calculated volume: 48 Å³/f.u.
* E_tot: -39.3 eV per cell

Lattice parameters (Å, degrees): 4.663 4.663 5.094 90.00 90.00 120.00
Positions (direct):
N: 0.000 0.000 0.889
N: 0.000 0.000 0.111
O: 0.667 0.333 0.258
O: 0.333 0.667 0.742
Sr: 0.667 0.333 0.742
Sr: 0.333 0.667 0.258